No. 1
VASP calculation (meta-GGA SCAN) on a crystal of InHg2Pb relaxed with PBEsol.

```
InHg2Pb
1.0
1.713 0.989 10.005
-1.713 0.989 10.005
0.000 -1.978 10.005
In Hg Pb
1 2 1
direct
0.000 0.000 0.000
0.489 0.489 0.489
0.746 0.746 0.746
0.242 0.242 0.242
```

Properties
Formation energy from the elements ... 1.01 kcal/mol of atoms
Symmetry ... R3m (160)

---

No. 2
VASP calculation (meta-GGA SCAN) on a crystal of In2HgPb relaxed with PBEsol.

```
In2HgPb
1.0
3.302 0.000 0.000
0.000 3.302 0.000
0.000 0.000 9.447
In Hg Pb
2 1 1
direct
0.000 0.000 0.233
0.000 0.000 0.767
0.500 0.500 0.000
0.500 0.500 0.500
```

Properties
Formation energy from the elements ... 1.22 kcal/mol of atoms
Symmetry ... P4/mmm (123)

---

No. 3
VASP calculation (meta-GGA SCAN) on a crystal of PmInHg2 relaxed with PBEsol.

```
PmInHg2
1.0
0.000 3.619 3.619
3.619 0.000 3.619
3.619 3.619 0.000
Pm In Hg
1 1 2
direct
0.000 0.000 0.000
0.500 0.500 0.500
0.250 0.250 0.250
0.750 0.750 0.750
```

Properties
Formation energy from the elements ... -12.44 kcal/mol of atoms
Symmetry ... Fm-3m (225)

---

No. 4
VASP calculation (meta-GGA SCAN) on a crystal of In2HgPt relaxed with PBEsol.

```
In2HgPt
1.0
5.034 0.000 0.000
0.000 5.034 0.000
0.000 0.000 3.150
In Hg Pt
2 1 1
direct
0.000 0.500 0.000
0.500 0.000 0.000
0.000 0.000 0.500
0.500 0.500 0.500
```

Properties
Formation energy from the elements ... -0.28 kcal/mol of atoms
Symmetry ... P4/mmm (123)

---

No. 5
VASP calculation (meta-GGA SCAN) on a crystal of InHgPt2 relaxed with PBEsol.

```
InHgPt2
1.0
-1.974 1.974 4.450
1.974 -1.974 4.450
1.974 1.974 -4.450
In Hg Pt
1 1 2
direct
0.000 0.000 0.000
0.250 0.750 0.500
0.500 0.500 0.000
0.750 0.250 0.500
```

Properties
Excess energy over the best structure of this formula in the dataset ... 44 meV/atom
Formation energy from the elements ... -2.59 kcal/mol of atoms
Symmetry ... I-4m2 (119)

---

No. 6
VASP calculation (meta-GGA SCAN) on a crystal of In3HgPt relaxed with PBEsol.

```
In3HgPt
1.0
5.123 0.000 0.000
0.000 5.123 0.000
0.000 0.000 5.123
In Hg Pt
3 1 1
direct
0.000 0.000 0.500
0.000 0.500 0.000
0.500 0.000 0.000
0.500 0.500 0.500
0.000 0.000 0.000
```

Properties
Formation energy from the elements ... -6.87 kcal/mol of atoms
Symmetry ... Pm-3m (221)

---

No. 7
VASP calculation (meta-GGA SCAN) on a crystal of In2HgPt relaxed with PBEsol.

```
In2HgPt
1.0
1.676 0.968 8.749
-1.676 0.968 8.749
0.000 -1.935 8.749
In Hg Pt
2 1 1
direct
0.000 0.000 0.000
0.238 0.238 0.238
0.756 0.756 0.756
0.500 0.500 0.500
```

Properties
Formation energy from the elements ... -0.19 kcal/mol of atoms
Symmetry ... R3m (160)

---

No. 8
VASP calculation (meta-GGA SCAN) on a crystal of InHgPt2 relaxed with PBEsol.

```
InHgPt2
1.0
2.944 0.000 0.000
0.000 4.787 0.000
0.000 0.000 4.903
In Hg Pt
1 1 2
direct
0.000 0.000 0.000
0.000 0.500 0.420
0.500 0.000 0.508
0.500 0.500 0.915
```

Properties
Excess energy over the best structure of this formula in the dataset ... 0 meV/atom
Formation energy from the elements ... -3.59 kcal/mol of atoms
Symmetry ... Pmm2 (25)

---

No. 9
VASP calculation (meta-GGA SCAN) on a crystal of Rb2InHg2 relaxed with PBEsol.

```
Rb2InHg2
1.0
7.786 0.000 0.000
0.000 7.786 0.000
0.000 0.000 5.706
Rb In Hg
4 2 4
direct
0.175 0.325 0.000
0.325 0.825 0.000
0.675 0.175 0.000
0.825 0.675 0.000
0.000 0.000 0.500
0.500 0.500 0.500
0.137 0.637 0.500
0.363 0.137 0.500
0.637 0.863 0.500
0.863 0.363 0.500
```

Properties
Formation energy from the elements ... -4.94 kcal/mol of atoms
Symmetry ... P4/mbm (127)

---

No. 10
VASP calculation (meta-GGA SCAN) on a crystal of InHgRh3 relaxed with PBEsol.

```
InHgRh3
1.0
4.787 0.000 0.000
0.000 4.787 0.000
0.000 0.000 4.787
In Hg Rh
1 1 3
direct
0.000 0.000 0.000
0.500 0.500 0.500
0.000 0.000 0.500
0.000 0.500 0.000
0.500 0.000 0.000
```

Properties
Excess energy over the best structure of this formula in the dataset ... 0 meV/atom
Formation energy from the elements ... 30.15 kcal/mol of atoms
Symmetry ... Pm-3m (221)

---

No. 11
VASP calculation (meta-GGA SCAN) on a crystal of InHg2Rh relaxed with PBEsol.

```
InHg2Rh
1.0
3.322 0.000 0.000
0.000 4.611 0.000
0.000 0.000 4.909
In Hg Rh
1 2 1
direct
0.000 0.000 0.000
0.000 0.500 0.500
0.500 0.000 0.500
0.500 0.500 0.000
```

Properties
Formation energy from the elements ... 3.20 kcal/mol of atoms
Symmetry ... Pmmm (47)

---

No. 12
VASP calculation (meta-GGA SCAN) on a crystal of InHg2Rh relaxed with PBEsol.

```
InHg2Rh
1.0
4.119 0.000 0.000
0.000 4.119 0.000
0.000 0.000 4.341
In Hg Rh
1 2 1
direct
0.000 0.000 0.000
0.000 0.500 0.500
0.500 0.000 0.500
0.500 0.500 0.000
```

Properties
Formation energy from the elements ... 3.03 kcal/mol of atoms
Symmetry ... P4/mmm (123)

---

- Look up the formation energy from the elements of the eleventh one.
  3.20 kcal/mol of atoms